Entry from the Alexandria database: SrTlAs2 after structural relaxation (GGA-PBE).

Geometry as extended XYZ:
```
4
Lattice="2.404 1.388 5.655 -2.404 1.388 5.655 0.000 -2.776 5.655" Properties=species:S:1:pos:R:3 pbc="T T T"
Sr 0.000 0.000 0.000
Tl 0.000 0.000 13.442
As 0.000 0.000 3.599
As 0.000 0.000 9.503
```

Results
Distance to the lowest polymorph of the same formula   170 meV per atom
Symmetry   R3m, No. 160
M_tot   0.000 Bohr magnetons per cell
ρ   6.5 g/cm3

Entry from the Alexandria database: SrTlAs2 after structural relaxation (GGA-PBE).

Geometry as extended XYZ:
```
4
Lattice="3.356 -4.320 0.000 3.356 4.320 0.000 0.000 0.000 3.611" Properties=species:S:1:pos:R:3 pbc="T T T"
Sr 0.000 0.000 0.000
Tl 3.356 0.000 0.000
As 1.678 2.160 1.806
As 1.678 -2.160 1.806
```

Results
Distance to the lowest polymorph of the same formula   146 meV per atom
Symmetry   Cmmm, No. 65
M_tot   0.000 Bohr magnetons per cell
ρ   7.0 g/cm3

Entry from the Alexandria database: SrTlAs after structural relaxation (GGA-PBE).

Geometry as extended XYZ:
```
6
Lattice="5.536 0.000 0.000 -2.768 4.794 0.000 0.000 0.000 6.593" Properties=species:S:1:pos:R:3 pbc="T T T"
Sr 0.000 3.196 1.648
Sr 2.768 1.598 4.945
Tl 0.000 0.000 0.000
Tl 0.000 0.000 3.296
As 0.000 3.196 4.945
As 2.768 1.598 1.648
```

Results
Total energy   -3.53 eV per atom
Symmetry   P6_3/mmc, No. 194
M_tot   0.000 Bohr magnetons per cell
ρ   7.0 g/cm3

Entry from the Alexandria database: Sr2TlAs after structural relaxation (GGA-PBE).

Geometry as extended XYZ:
```
4
Lattice="-2.563 2.563 4.652 2.563 -2.563 4.652 2.563 2.563 -4.652" Properties=species:S:1:pos:R:3 pbc="T T T"
Sr 2.563 0.000 2.326
Sr 0.000 2.563 2.326
Tl 0.000 0.000 0.000
As 0.000 0.000 4.652
```

Results
Distance to the lowest polymorph of the same formula   113 meV per atom
Symmetry   I4/mmm, No. 139
M_tot   0.000 Bohr magnetons per cell
ρ   6.2 g/cm3

Number 1: Fermi-level density of states 1.298 states/eV per cell. Number 2: Fermi-level density of states 1.794 states/eV per cell. Number 3: Fermi-level density of states 2.640 states/eV per cell. Number 4: Fermi-level density of states 1.192 states/eV per cell.